No. 1
LaLuNi4 (GGA-PBE, optimized geometry); crystal system = hexagonal; total energy = -5.398 eV per atom; density = 8.950 g/cm³; formation enthalpy at 0 K = -0.11 eV per atom
1.0
5.424 0.000 0.000
-2.712 4.697 0.000
0.000 0.000 7.991
La Lu Ni
2 2 8
Cartesian
0.000 0.000 0.000 La
0.000 0.000 3.995 La
0.000 3.131 0.000 Lu
2.712 1.566 0.000 Lu
-1.356 2.349 2.144 Ni
-1.356 2.349 5.847 Ni
0.000 3.131 3.995 Ni
2.712 0.000 2.144 Ni
2.712 0.000 5.847 Ni
1.356 2.349 2.144 Ni
1.356 2.349 5.847 Ni
2.712 1.566 3.995 Ni

=====

No. 2
LaLuO3 (GGA-PBE, optimized geometry); crystal system = orthorhombic; total energy = -8.432 eV per atom; density = 8.359 g/cm³
1.0
5.978 0.000 0.000
0.000 8.318 0.000
0.000 0.000 5.783
La Lu O
4 4 12
Cartesian
0.297 2.080 0.080 La
2.692 6.239 2.971 La
3.285 2.080 2.812 La
5.681 6.239 5.704 La
0.000 0.000 2.892 Lu
0.000 4.159 2.892 Lu
2.989 0.000 0.000 Lu
2.989 4.159 0.000 Lu
0.307 6.239 2.201 O
1.166 4.681 4.666 O
1.166 7.796 4.666 O
1.822 0.522 1.774 O
1.822 3.637 1.774 O
2.681 2.080 5.092 O
3.296 6.239 0.691 O
4.155 4.681 4.009 O
4.155 7.796 4.009 O
4.811 0.522 1.118 O
4.811 3.637 1.118 O
5.670 2.080 3.582 O

=====

No. 3
LaLuO3 (GGA-PBE, optimized geometry); crystal system = monoclinic; total energy = -8.429 eV per atom; density = 8.425 g/cm³
1.0
8.292 0.000 0.000
0.000 5.780 0.000
-0.001 0.000 5.952
La Lu O
4 4 12
Cartesian
2.074 0.078 0.289 La
2.073 2.812 3.266 La
6.217 2.968 2.687 La
6.217 5.701 5.663 La
-0.001 0.000 2.976 Lu
0.000 2.890 0.000 Lu
4.145 0.000 2.976 Lu
4.146 2.890 0.000 Lu
0.521 1.121 4.789 O
0.522 1.769 1.812 O
2.072 3.578 5.663 O
2.072 5.092 2.687 O
3.629 1.115 4.793 O
3.630 1.775 1.817 O
4.661 4.005 4.136 O
4.662 4.665 1.160 O
6.218 0.688 3.266 O
6.219 2.202 0.290 O
7.769 4.011 4.140 O
7.770 4.659 1.164 O

=====

No. 4
LaLuO3 (GGA-PBE, optimized geometry); crystal system = cubic; total energy = -6.876 eV per atom; density = 6.604 g/cm³
1.0
4.498 0.000 0.000
0.000 4.498 0.000
0.000 0.000 4.498
La Lu O
1 1 3
Cartesian
0.000 0.000 0.000 La
2.249 2.249 2.249 Lu
0.000 0.000 2.249 O
0.000 2.249 0.000 O
2.249 0.000 0.000 O

=====

No. 5
LaLuO3 (GGA-PBE, optimized geometry); crystal system = tetragonal; total energy = -8.308 eV per atom; density = 8.509 g/cm³
1.0
-2.905 2.905 4.184
2.905 -2.905 4.184
2.905 2.905 -4.184
La Lu O
2 2 6
Cartesian
2.905 0.000 2.092 La
0.000 2.905 2.092 La
0.000 0.000 0.000 Lu
0.000 0.000 4.184 Lu
3.858 0.953 0.000 O
0.000 0.000 2.092 O
0.953 1.952 0.000 O
1.952 0.953 4.184 O
0.000 0.000 6.276 O
-0.953 1.952 4.184 O

=====

No. 6
LaLu2O4 (GGA-PBE, optimized geometry); crystal system = cubic; total energy = -8.178 eV per atom; density = 8.399 g/cm³
1.0
0.000 4.781 4.781
4.781 0.000 4.781
4.781 4.781 0.000
La Lu O
2 4 8
Cartesian
1.195 1.195 1.195 La
8.367 8.367 8.367 La
4.781 2.391 2.391 Lu
2.391 4.781 2.391 Lu
2.391 2.391 4.781 Lu
4.781 4.781 4.781 Lu
2.547 2.547 2.547 O
4.625 4.625 2.547 O
4.625 2.547 4.625 O
7.016 4.937 4.937 O
2.547 4.625 4.625 O
4.937 7.016 4.937 O
4.937 4.937 7.016 O
7.016 7.016 7.016 O

=====

No. 7
LaLuO3 (GGA-PBE, optimized geometry); crystal system = trigonal; total energy = -8.373 eV per atom; density = 7.896 g/cm³
1.0
2.927 1.690 5.127
-2.927 1.690 5.127
0.000 -3.380 5.127
La Lu O
2 2 6
Cartesian
0.000 0.000 2.030 La
0.000 0.000 13.353 La
0.000 0.000 5.404 Lu
0.000 0.000 9.979 Lu
-1.228 -1.552 6.349 O
-1.958 0.287 9.033 O
-0.730 1.839 6.349 O
0.730 -1.839 9.033 O
1.958 -0.287 6.349 O
1.228 1.552 9.033 O

=====

No. 8
LaLuO3 (GGA-PBE, optimized geometry); crystal system = trigonal; total energy = -8.388 eV per atom; density = 8.373 g/cm³
1.0
2.957 1.707 4.739
-2.957 1.707 4.739
0.000 -3.414 4.739
La Lu O
2 2 6
Cartesian
0.000 0.000 3.554 La
0.000 0.000 10.663 La
0.000 0.000 0.000 Lu
0.000 0.000 7.109 Lu
-1.800 0.296 5.924 O
-1.157 -1.411 8.294 O
0.644 -1.707 5.924 O
-0.644 1.707 8.294 O
1.157 1.411 5.924 O
1.800 -0.296 8.294 O

=====

No. 9
LaLuPO (GGA-PBE, optimized geometry); crystal system = tetragonal; total energy = -6.735 eV per atom; density = 7.514 g/cm³; excess energy over the best structure of this formula in the dataset = 0.350 eV/atom
1.0
4.192 0.000 0.000
0.000 4.192 0.000
0.000 0.000 9.075
La Lu P O
2 2 2 2
Cartesian
1.048 3.144 0.000 La
3.144 1.048 0.000 La
1.048 1.048 3.698 Lu
3.144 3.144 5.377 Lu
1.048 1.048 7.056 P
3.144 3.144 2.019 P
1.048 3.144 4.538 O
3.144 1.048 4.538 O

=====

No. 10
LaLuPO (GGA-PBE, optimized geometry); crystal system = orthorhombic; total energy = -7.028 eV per atom; density = 6.236 g/cm³; excess energy over the best structure of this formula in the dataset = 0.057 eV/atom
1.0
4.407 0.000 0.000
0.000 7.183 0.000
0.000 0.000 6.071
La Lu P O
2 2 2 2
Cartesian
0.000 1.454 0.000 La
0.000 5.729 3.036 La
2.204 2.739 3.515 Lu
2.204 4.443 0.480 Lu
0.000 1.419 2.989 P
0.000 5.764 6.025 P
2.204 2.512 5.655 O
2.204 4.671 2.619 O

=====

No. 11
LaLuPO (GGA-PBE, optimized geometry); crystal system = tetragonal; total energy = -7.002 eV per atom; density = 7.034 g/cm³; excess energy over the best structure of this formula in the dataset = 0.083 eV/atom
1.0
4.372 0.000 0.000
0.000 4.372 0.000
0.000 0.000 8.915
La Lu P O
2 2 2 2
Cartesian
1.093 1.093 1.058 La
3.279 3.279 7.857 La
1.093 3.279 4.458 Lu
3.279 1.093 4.458 Lu
1.093 1.093 6.041 P
3.279 3.279 2.874 P
1.093 3.279 0.000 O
3.279 1.093 0.000 O

=====

No. 12
LaLuPO (GGA-PBE, optimized geometry); crystal system = orthorhombic; total energy = -7.085 eV per atom; density = 7.030 g/cm³; excess energy over the best structure of this formula in the dataset = 0.000 eV/atom
1.0
4.237 0.000 0.000
0.000 5.554 0.000
0.000 0.000 7.245
La Lu P O
2 2 2 2
Cartesian
0.000 0.587 0.000 La
0.000 4.967 3.623 La
2.118 2.021 2.524 Lu
2.118 3.533 6.147 Lu
2.118 0.943 5.106 P
2.118 4.611 1.483 P
0.000 1.579 2.301 O
0.000 3.975 5.924 O